[1]
{"formula": "BaNaSb2Te", "functional": "GGA-PBE", "state": "relaxed", "mass_density_g_cm3": 5.062, "relative_energy_ev_per_atom": 0.000, "lattice_angstrom": [[5.5049, 0.0000, 0.0000], [0.0000, 5.5049, 0.0000], [0.0000, 0.0000, 5.7524]], "species": ["Ba", "Na", "Sb", "Sb", "Te"], "frac_coords": [[0.0000, 0.0000, 0.0000], [0.5000, 0.5000, 0.5000], [0.0000, 0.5000, 0.5000], [0.5000, 0.0000, 0.5000], [0.5000, 0.5000, 0.0000]]}


[2]
{"formula": "CeTm2VN4", "functional": "GGA-PBE", "state": "relaxed", "total_energy_ev_per_cell": -137.4, "mass_density_g_cm3": 8.678, "lattice_angstrom": [[1.6711, -5.7756, 0.0000], [1.6711, 5.7756, 0.0000], [0.0000, 0.0000, 11.5975]], "species": ["Ce", "Ce", "Tm", "Tm", "Tm", "Tm", "V", "V", "N", "N", "N", "N", "N", "N", "N", "N"], "frac_coords": [[0.0896, 0.9104, 0.7500], [0.9104, 0.0896, 0.2500], [0.3706, 0.6294, 0.5423], [0.3706, 0.6294, 0.9577], [0.6294, 0.3706, 0.0423], [0.6294, 0.3706, 0.4577], [0.1718, 0.8282, 0.2500], [0.8282, 0.1718, 0.7500], [0.0000, 0.0000, 0.0000], [0.0000, 0.0000, 0.5000], [0.2645, 0.7355, 0.1235], [0.2645, 0.7355, 0.3765], [0.4276, 0.5724, 0.7500], [0.5724, 0.4276, 0.2500], [0.7355, 0.2645, 0.6235], [0.7355, 0.2645, 0.8765]]}


[3]
{"formula": "LaSeI2N", "functional": "GGA-PBE", "state": "relaxed", "mass_density_g_cm3": 5.429, "relative_energy_ev_per_atom": 0.104, "lattice_angstrom": [[6.2657, 0.0000, 0.0000], [0.0000, 6.2657, 0.0000], [0.0000, 0.0000, 3.7842]], "species": ["La", "Se", "I", "I", "N"], "frac_coords": [[0.0000, 0.0000, 0.0000], [0.5000, 0.5000, 0.5000], [0.0000, 0.5000, 0.5000], [0.5000, 0.0000, 0.5000], [0.5000, 0.5000, 0.0000]]}